1.
VASP calculation (PBE) on crystalline HfHgSb at its relaxed geometry.

Space-group type: No. 216
ρ: 10.245 g/cm³
Energy above the lowest structure with this stoichiometry: 0.317 eV/atom

Cell lengths 4.8602, 4.8602, 4.8602 Å; angles 60.00, 60.00, 60.00 degrees
Last column: nearest neighbours and their distance in Å.
Sites, in units of the cell vectors:
Hf  0.0000  0.0000  0.0000  4 Sb 2.98
Hg  0.5000  0.5000  0.5000  4 Sb 2.98
Sb  0.7500  0.7500  0.7500  4 Hg 2.98, 4 Hf 2.98

---

2.
VASP calculation (PBE) on crystalline Hf3Hg4Sb4 at its relaxed geometry.

Space-group type: No. 121
ρ: 10.917 g/cm³
Electronic total energy: -46.0 eV for the cell shown

Cell lengths 8.8823, 8.8823, 8.8823 Å; angles 140.81, 140.81, 56.63 degrees
Last column: nearest neighbours and their distance in Å.
Sites, in units of the cell vectors:
Hf  0.0000  0.0000  0.0000  6 Sb 2.97-2.98
Hf  0.2500  0.7500  0.5000  4 Hg 3.01, 4 Sb 3.12
Hf  0.7500  0.2500  0.5000  4 Hg 3.01, 4 Sb 3.12
Hg  0.2134  0.5466  0.0000  1 Hg 2.81, 3 Sb 2.91-3.01, 2 Hf 3.01
Hg  0.4534  0.4534  0.6668  1 Hg 2.81, 3 Sb 2.91-3.01, 2 Hf 3.01
Hg  0.5466  0.2134  0.0000  1 Hg 2.81, 3 Sb 2.91-3.01, 2 Hf 3.01
Hg  0.7866  0.7866  0.3332  1 Hg 2.81, 3 Sb 2.91-3.01, 2 Hf 3.01
Sb  0.0000  0.5000  0.5000  4 Hg 2.91, 2 Hf 2.98
Sb  0.1897  0.1897  0.0000  5 Hf 2.97-3.12, 4 Hg 3.01-3.29
Sb  0.5000  0.0000  0.5000  4 Hg 2.91, 2 Hf 2.98
Sb  0.8103  0.8103  0.0000  5 Hf 2.97-3.12, 4 Hg 3.01-3.29